# SiPb2WCl

A relaxed SiPb2WCl crystal (GGA-PBE, Alexandria via LeMat-Bulk).

abc: 5.3988 5.3988 4.7109
angles: 90.00 90.00 90.00
Closest atoms and distances in Å follow each position.
Space group P4/mmm (No. 123)
Inequivalent atoms, fractional coordinates:
Si: 0.0000 0.0000 0.0000  2 Cl 2.36
Pb: 0.0000 0.5000 0.5000  2 Cl 2.70
W: 0.5000 0.5000 0.0000  8 Pb 3.58, 4 Si 3.82
Cl: 0.0000 0.0000 0.5000  2 Si 2.36

Properties
crystal system	tetragonal
energy	-0.295	Ry/atom
formation energy from raw total energies	1.519	eV per atom

# YSiPbCl2

A relaxed YSiPbCl2 crystal (GGA-PBE, Alexandria via LeMat-Bulk).

abc: 5.2860 5.2860 6.4425
angles: 90.00 90.00 90.00
Closest atoms and distances in Å follow each position.
Space group P4/mmm (No. 123)
Inequivalent atoms, fractional coordinates:
Y: 0.0000 0.0000 0.0000  2 Pb 3.22
Si: 0.5000 0.5000 0.0000  4 Y 3.74, 8 Cl 4.17
Pb: 0.0000 0.0000 0.5000  4 Cl 2.64
Cl: 0.0000 0.5000 0.5000  2 Pb 2.64

Properties
crystal system	tetragonal
energy	-0.267	Ry/atom
formation energy from raw total energies	0.220	eV per atom

# ZrSiPb2Cl

A relaxed ZrSiPb2Cl crystal (GGA-PBE, Alexandria via LeMat-Bulk).

abc: 5.7959 5.7959 5.0393
angles: 90.00 90.00 90.00
Closest atoms and distances in Å follow each position.
Space group P4/mmm (No. 123)
Inequivalent atoms, fractional coordinates:
Zr: 0.0000 0.0000 0.0000  2 Si 2.52
Si: 0.0000 0.0000 0.5000  2 Zr 2.52
Pb: 0.0000 0.5000 0.0000  2 Zr 2.90
Cl: 0.5000 0.5000 0.5000  8 Pb 3.84, 4 Si 4.10

Properties
crystal system	tetragonal
energy	-0.317	Ry/atom
formation energy from raw total energies	0.340	eV per atom

# SmPbCl5

A relaxed SmPbCl5 crystal (GGA-PBE, Alexandria via LeMat-Bulk).

abc: 10.5478 10.2371 10.6022
angles: 90.00 116.81 90.00
Closest atoms and distances in Å follow each position.
Space group C2/c (No. 15)
Inequivalent atoms, fractional coordinates:
Sm: 0.2500 0.2500 0.0000  6 Cl 2.69-2.78
Pb: 0.0000 0.0898 0.2500  4 Cl 2.75-2.89
Cl: 0.0000 0.2315 0.7500  2 Sm 2.78
Cl: 0.1018 0.2899 0.1481  1 Sm 2.70, 1 Pb 2.75
Cl: 0.2216 0.0091 0.5211  1 Sm 2.69, 1 Pb 2.89

Properties
crystal system	monoclinic
energy	-0.313	Ry/atom
formation energy from raw total energies	-1.738	eV per atom

> energy of number 3 (ZrSiPb2Cl)?

-0.317 Ry/atom

What did the first record say?
# SiPb2WCl

A relaxed SiPb2WCl crystal (GGA-PBE, Alexandria via LeMat-Bulk).

abc: 5.3988 5.3988 4.7109
angles: 90.00 90.00 90.00
Closest atoms and distances in Å follow each position.
Space group P4/mmm (No. 123)
Inequivalent atoms, fractional coordinates:
Si: 0.0000 0.0000 0.0000  2 Cl 2.36
Pb: 0.0000 0.5000 0.5000  2 Cl 2.70
W: 0.5000 0.5000 0.0000  8 Pb 3.58, 4 Si 3.82
Cl: 0.0000 0.0000 0.5000  2 Si 2.36

Properties
crystal system	tetragonal
energy	-0.295	Ry/atom
formation energy from raw total energies	1.519	eV per atom